(1)
DFT (PBE) results for a relaxed structure of MnCo2Ir.

```
data_MnCo2Ir
_chemical_formula_sum 'Mn1 Co2 Ir1'
_space_group_name_H-M_alt 'P 1'
_space_group_IT_number 1
_cell_length_a 2.618
_cell_length_b 3.573
_cell_length_c 5.112
_cell_angle_alpha 90.00
_cell_angle_beta 90.00
_cell_angle_gamma 90.00
loop_
_space_group_symop_operation_xyz
'x,y,z'
loop_
_atom_site_label
_atom_site_type_symbol
_atom_site_fract_x
_atom_site_fract_y
_atom_site_fract_z
Mn1 Mn 0.000 0.000 0.000
Co1 Co 0.500 0.500 0.249
Co2 Co 0.500 0.500 0.751
Ir1 Ir 0.000 0.000 0.500
```

* space-group type: Pmmm
* raw total energy: -8.02 eV per atom
* ΔE to the lowest computed polymorph: 92 meV/atom
* ρ: 12.7 g/cm3
* ΔH_f (0 K): 36 meV per atom



(2)
DFT (PBE) results for a relaxed structure of MnCo2Ir.

```
data_MnCo2Ir
_chemical_formula_sum 'Mn1 Co2 Ir1'
_space_group_name_H-M_alt 'P 1'
_space_group_IT_number 1
_cell_length_a 2.651
_cell_length_b 2.651
_cell_length_c 6.890
_cell_angle_alpha 90.00
_cell_angle_beta 90.00
_cell_angle_gamma 90.00
loop_
_space_group_symop_operation_xyz
'x,y,z'
loop_
_atom_site_label
_atom_site_type_symbol
_atom_site_fract_x
_atom_site_fract_y
_atom_site_fract_z
Mn1 Mn 0.000 0.000 0.000
Co1 Co 0.000 0.000 0.471
Co2 Co 0.500 0.500 0.247
Ir1 Ir 0.500 0.500 0.744
```

* space-group type: P4mm
* raw total energy: -8.02 eV per atom
* ΔE to the lowest computed polymorph: 95 meV/atom
* ρ: 12.5 g/cm3
* ΔH_f (0 K): 39 meV per atom



(3)
DFT (PBE) results for a relaxed structure of MnCo2Ir.

```
data_MnCo2Ir
_chemical_formula_sum 'Mn1 Co2 Ir1'
_space_group_name_H-M_alt 'P 1'
_space_group_IT_number 1
_cell_length_a 4.161
_cell_length_b 4.161
_cell_length_c 4.161
_cell_angle_alpha 60.00
_cell_angle_beta 60.00
_cell_angle_gamma 60.00
loop_
_space_group_symop_operation_xyz
'x,y,z'
loop_
_atom_site_label
_atom_site_type_symbol
_atom_site_fract_x
_atom_site_fract_y
_atom_site_fract_z
Mn1 Mn 0.000 0.000 0.000
Co1 Co 0.500 0.500 0.500
Co2 Co 0.750 0.750 0.750
Ir1 Ir 0.250 0.250 0.250
```

* space-group type: F-43m
* raw total energy: -7.95 eV per atom
* ΔE to the lowest computed polymorph: 169 meV/atom
* ρ: 11.9 g/cm3
* ΔH_f (0 K): 113 meV per atom



(4)
DFT (PBE) results for a relaxed structure of MnCo2Ir.

```
data_MnCo2Ir
_chemical_formula_sum 'Mn1 Co2 Ir1'
_space_group_name_H-M_alt 'P 1'
_space_group_IT_number 1
_cell_length_a 4.910
_cell_length_b 4.910
_cell_length_c 4.910
_cell_angle_alpha 146.31
_cell_angle_beta 128.99
_cell_angle_gamma 62.53
loop_
_space_group_symop_operation_xyz
'x,y,z'
loop_
_atom_site_label
_atom_site_type_symbol
_atom_site_fract_x
_atom_site_fract_y
_atom_site_fract_z
Mn1 Mn 0.000 0.000 0.000
Co1 Co 0.242 0.742 0.500
Co2 Co 0.758 0.258 0.500
Ir1 Ir 0.500 0.500 0.000
```

* space-group type: Immm
* raw total energy: -8.01 eV per atom
* ΔE to the lowest computed polymorph: 110 meV/atom
* ρ: 12.0 g/cm3
* ΔH_f (0 K): 54 meV per atom



(5)
DFT (PBE) results for a relaxed structure of Mn2Co2Ir.

```
data_Mn2Co2Ir
_chemical_formula_sum 'Mn4 Co4 Ir2'
_space_group_name_H-M_alt 'P 1'
_space_group_IT_number 1
_cell_length_a 6.591
_cell_length_b 6.591
_cell_length_c 2.710
_cell_angle_alpha 90.00
_cell_angle_beta 90.00
_cell_angle_gamma 90.00
loop_
_space_group_symop_operation_xyz
'x,y,z'
loop_
_atom_site_label
_atom_site_type_symbol
_atom_site_fract_x
_atom_site_fract_y
_atom_site_fract_z
Mn1 Mn 0.172 0.328 0.000
Mn2 Mn 0.328 0.828 0.000
Mn3 Mn 0.672 0.172 0.000
Mn4 Mn 0.828 0.672 0.000
Co1 Co 0.125 0.625 0.500
Co2 Co 0.375 0.125 0.500
Co3 Co 0.625 0.875 0.500
Co4 Co 0.875 0.375 0.500
Ir1 Ir 0.000 0.000 0.500
Ir2 Ir 0.500 0.500 0.500
```

* space-group type: P4/mbm
* raw total energy: -8.16 eV per atom
* ΔE to the lowest computed polymorph: 0 meV/atom
* ρ: 11.8 g/cm3
* ΔH_f (0 K): 122 meV per atom



(6)
DFT (PBE) results for a relaxed structure of MnCoIr3.

```
data_MnCoIr3
_chemical_formula_sum 'Mn2 Co2 Ir6'
_space_group_name_H-M_alt 'P 1'
_space_group_IT_number 1
_cell_length_a 6.666
_cell_length_b 6.666
_cell_length_c 5.328
_cell_angle_alpha 90.00
_cell_angle_beta 90.00
_cell_angle_gamma 145.10
loop_
_space_group_symop_operation_xyz
'x,y,z'
loop_
_atom_site_label
_atom_site_type_symbol
_atom_site_fract_x
_atom_site_fract_y
_atom_site_fract_z
Mn1 Mn 0.188 0.812 0.750
Mn2 Mn 0.812 0.188 0.250
Co1 Co 0.002 0.998 0.250
Co2 Co 0.998 0.002 0.750
Ir1 Ir 0.200 0.800 0.250
Ir2 Ir 0.397 0.603 0.003
Ir3 Ir 0.397 0.603 0.497
Ir4 Ir 0.603 0.397 0.503
Ir5 Ir 0.603 0.397 0.997
Ir6 Ir 0.800 0.200 0.750
```

* space-group type: Cmcm
* raw total energy: -8.52 eV per atom
* ΔE to the lowest computed polymorph: 0 meV/atom
* ρ: 16.9 g/cm3
* ΔH_f (0 K): 50 meV per atom



(7)
DFT (PBE) results for a relaxed structure of MnCo2Ir.

```
data_MnCo2Ir
_chemical_formula_sum 'Mn1 Co2 Ir1'
_space_group_name_H-M_alt 'P 1'
_space_group_IT_number 1
_cell_length_a 8.392
_cell_length_b 8.392
_cell_length_c 8.392
_cell_angle_alpha 17.95
_cell_angle_beta 17.95
_cell_angle_gamma 17.95
loop_
_space_group_symop_operation_xyz
'x,y,z'
loop_
_atom_site_label
_atom_site_type_symbol
_atom_site_fract_x
_atom_site_fract_y
_atom_site_fract_z
Mn1 Mn 0.000 0.000 0.000
Co1 Co 0.494 0.494 0.494
Co2 Co 0.749 0.749 0.749
Ir1 Ir 0.249 0.249 0.249
```

* space-group type: R3m
* raw total energy: -7.96 eV per atom
* ΔE to the lowest computed polymorph: 156 meV/atom
* ρ: 12.4 g/cm3
* ΔH_f (0 K): 100 meV per atom



(8)
DFT (PBE) results for a relaxed structure of MnCo2Ir.

```
data_MnCo2Ir
_chemical_formula_sum 'Mn1 Co2 Ir1'
_space_group_name_H-M_alt 'P 1'
_space_group_IT_number 1
_cell_length_a 3.637
_cell_length_b 3.637
_cell_length_c 3.655
_cell_angle_alpha 90.00
_cell_angle_beta 90.00
_cell_angle_gamma 90.00
loop_
_space_group_symop_operation_xyz
'x,y,z'
loop_
_atom_site_label
_atom_site_type_symbol
_atom_site_fract_x
_atom_site_fract_y
_atom_site_fract_z
Mn1 Mn 0.000 0.000 0.000
Co1 Co 0.000 0.500 0.500
Co2 Co 0.500 0.000 0.500
Ir1 Ir 0.500 0.500 0.000
```

* space-group type: P4/mmm
* raw total energy: -8.12 eV per atom
* ΔE to the lowest computed polymorph: 0 meV/atom
* ρ: 12.5 g/cm3
* ΔH_f (0 K): -56 meV per atom



(9)
DFT (PBE) results for a relaxed structure of MnCo2Ir.

```
data_MnCo2Ir
_chemical_formula_sum 'Mn2 Co4 Ir2'
_space_group_name_H-M_alt 'P 1'
_space_group_IT_number 1
_cell_length_a 8.599
_cell_length_b 8.599
_cell_length_c 8.599
_cell_angle_alpha 156.51
_cell_angle_beta 156.51
_cell_angle_gamma 33.47
loop_
_space_group_symop_operation_xyz
'x,y,z'
loop_
_atom_site_label
_atom_site_type_symbol
_atom_site_fract_x
_atom_site_fract_y
_atom_site_fract_z
Mn1 Mn 0.000 0.000 0.000
Mn2 Mn 0.750 0.250 0.500
Co1 Co 0.110 0.625 0.985
Co2 Co 0.375 0.360 0.485
Co3 Co 0.640 0.125 0.015
Co4 Co 0.875 0.890 0.515
Ir1 Ir 0.250 0.750 0.500
Ir2 Ir 0.500 0.500 0.000
```

* space-group type: I-42d
* raw total energy: -7.53 eV per atom
* ΔE to the lowest computed polymorph: 589 meV/atom
* ρ: 12.0 g/cm3
* ΔH_f (0 K): 533 meV per atom



(10)
DFT (PBE) results for a relaxed structure of MnCoIr3.

```
data_MnCoIr3
_chemical_formula_sum 'Mn1 Co1 Ir3'
_space_group_name_H-M_alt 'P 1'
_space_group_IT_number 1
_cell_length_a 4.392
_cell_length_b 4.392
_cell_length_c 4.392
_cell_angle_alpha 90.00
_cell_angle_beta 90.00
_cell_angle_gamma 90.00
loop_
_space_group_symop_operation_xyz
'x,y,z'
loop_
_atom_site_label
_atom_site_type_symbol
_atom_site_fract_x
_atom_site_fract_y
_atom_site_fract_z
Mn1 Mn 0.000 0.000 0.000
Co1 Co 0.500 0.500 0.500
Ir1 Ir 0.000 0.500 0.500
Ir2 Ir 0.500 0.000 0.500
Ir3 Ir 0.500 0.500 0.000
```

* space-group type: Pm-3m
* raw total energy: -6.76 eV per atom
* ΔE to the lowest computed polymorph: 1765 meV/atom
* ρ: 13.5 g/cm3
* ΔH_f (0 K): 1815 meV per atom



(11)
DFT (PBE) results for a relaxed structure of MnCo4Ir2.

```
data_MnCo4Ir2
_chemical_formula_sum 'Mn1 Co4 Ir2'
_space_group_name_H-M_alt 'P 1'
_space_group_IT_number 1
_cell_length_a 6.728
_cell_length_b 6.728
_cell_length_c 6.728
_cell_angle_alpha 144.44
_cell_angle_beta 144.44
_cell_angle_gamma 51.16
loop_
_space_group_symop_operation_xyz
'x,y,z'
loop_
_atom_site_label
_atom_site_type_symbol
_atom_site_fract_x
_atom_site_fract_y
_atom_site_fract_z
Mn1 Mn 0.000 0.000 0.000
Co1 Co 0.000 0.500 0.500
Co2 Co 0.188 0.188 0.000
Co3 Co 0.500 0.000 0.500
Co4 Co 0.812 0.812 0.000
Ir1 Ir 0.381 0.381 0.000
Ir2 Ir 0.619 0.619 0.000
```

* space-group type: I4/mmm
* raw total energy: -6.82 eV per atom
* ρ: 10.9 g/cm3
* ΔH_f (0 K): 1087 meV per atom



(12)
DFT (PBE) results for a relaxed structure of Mn6Co5Ir.

```
data_Mn6Co5Ir
_chemical_formula_sum 'Mn6 Co5 Ir1'
_space_group_name_H-M_alt 'P 1'
_space_group_IT_number 1
_cell_length_a 7.083
_cell_length_b 7.083
_cell_length_c 7.083
_cell_angle_alpha 146.41
_cell_angle_beta 131.87
_cell_angle_gamma 59.97
loop_
_space_group_symop_operation_xyz
'x,y,z'
loop_
_atom_site_label
_atom_site_type_symbol
_atom_site_fract_x
_atom_site_fract_y
_atom_site_fract_z
Mn1 Mn 0.075 0.330 0.745
Mn2 Mn 0.240 0.000 0.240
Mn3 Mn 0.415 0.670 0.745
Mn4 Mn 0.585 0.330 0.255
Mn5 Mn 0.760 0.000 0.760
Mn6 Mn 0.925 0.670 0.255
Co1 Co 0.000 0.500 0.500
Co2 Co 0.167 0.167 0.000
Co3 Co 0.335 0.835 0.500
Co4 Co 0.665 0.165 0.500
Co5 Co 0.833 0.833 0.000
Ir1 Ir 0.500 0.500 0.000
```

* space-group type: Immm
* raw total energy: -8.31 eV per atom
* ρ: 9.3 g/cm3
* ΔH_f (0 K): -30 meV per atom